Record 1
! Rb2CuF4, optimized geometry, DFT GGA-PBE; values from VASP
&SYSTEM
  ibrav = 0, nat = 14, ntyp = 3
/
ATOMIC_SPECIES
Rb 85.47 Rb.upf
Cu 63.55 Cu.upf
F 19.00 F.upf
CELL_PARAMETERS angstrom
6.036 0.000 -0.548
0.000 6.170 0.000
-2.853 0.000 7.809
ATOMIC_POSITIONS crystal
Rb 0.704 0.750 0.005
Rb 0.296 0.250 0.995
Rb 0.013 0.250 0.382
Rb 0.987 0.750 0.618
Cu 0.371 0.750 0.259
Cu 0.629 0.250 0.741
F 0.599 0.523 0.290
F 0.175 0.750 0.991
F 0.825 0.250 0.009
F 0.599 0.977 0.290
F 0.887 0.250 0.672
F 0.401 0.023 0.710
F 0.401 0.477 0.710
F 0.113 0.750 0.328
! Formation energy (no corrections): -2162 meV/atom
! Total DFT energy (no corrections): -28.65 eV per formula unit
! E above lowest polymorph: 0.1087 eV/atom

Record 2
! Rb2CuF5, optimized geometry, DFT GGA-PBE; values from VASP
&SYSTEM
  ibrav = 0, nat = 8, ntyp = 3
/
ATOMIC_SPECIES
Rb 85.47 Rb.upf
Cu 63.55 Cu.upf
F 19.00 F.upf
CELL_PARAMETERS angstrom
5.967 0.182 0.260
-2.779 5.283 -0.260
-2.779 -2.041 4.880
ATOMIC_POSITIONS crystal
Rb 0.500 0.249 0.749
Rb 0.500 0.749 0.249
Cu 0.000 0.018 0.018
F 0.582 0.779 0.779
F 0.000 0.779 0.197
F 0.000 0.197 0.779
F 0.418 0.197 0.197
F 0.000 0.254 0.254
! Formation energy (no corrections): -2108 meV/atom
! Total DFT energy (no corrections): -32.26 eV per formula unit

Record 3
! RbCu2ReF8, optimized geometry, DFT GGA-PBE; values from VASP
&SYSTEM
  ibrav = 0, nat = 12, ntyp = 4
/
ATOMIC_SPECIES
Rb 85.47 Rb.upf
Cu 63.55 Cu.upf
Re 186.21 Re.upf
F 19.00 F.upf
CELL_PARAMETERS angstrom
5.486 0.000 0.000
2.743 4.751 0.000
2.743 1.584 8.572
ATOMIC_POSITIONS crystal
Rb 0.000 0.000 0.000
Cu 0.737 0.737 0.790
Cu 0.263 0.263 0.210
Re 0.500 0.500 0.500
F 0.665 0.665 0.004
F 0.335 0.335 0.996
F 0.393 0.371 0.363
F 0.629 0.607 0.637
F 0.126 0.629 0.637
F 0.371 0.874 0.363
F 0.874 0.393 0.363
F 0.607 0.126 0.637
! Formation energy (no corrections): -1787 meV/atom
! Total DFT energy (no corrections): -58.02 eV per formula unit